This record from Alexandria via LeMat-Bulk describes a relaxed YW3 crystal. The functional is PBE.

a b c (Å): 4.749 4.749 3.207
angles (deg): 90.00 90.00 90.00
Fractional coordinates of all 4 atoms:
Y1 0.000 0.000 0.000
W1 0.000 0.500 0.500
W2 0.500 0.000 0.500
W3 0.500 0.500 0.000

Calculated values
* formation energy: 0.6128 eV/atom
* M_tot: 0.0 μB/cell
* uncorrected energy: -10.72 eV/atom
* crystal system: tetragonal
* N(E_F): 1.080 states/eV/atom
* space-group type: No. 123



This record from Alexandria via LeMat-Bulk describes a relaxed RhPb2 crystal. The functional is PBE.

a b c (Å): 7.191 6.377 7.075
angles (deg): 90.00 113.71 90.00
Fractional coordinates of all 12 atoms:
Rh1 0.209 0.032 0.029
Rh2 0.209 0.468 0.529
Rh3 0.791 0.532 0.471
Rh4 0.791 0.968 0.971
Pb1 0.116 0.639 0.846
Pb2 0.116 0.861 0.346
Pb3 0.408 0.140 0.776
Pb4 0.408 0.360 0.276
Pb5 0.592 0.640 0.724
Pb6 0.592 0.860 0.224
Pb7 0.884 0.139 0.654
Pb8 0.884 0.361 0.154

Calculated values
* formation energy: -0.0375 eV/atom
* M_tot: 0.0 μB/cell
* uncorrected energy: -4.96 eV/atom
* crystal system: monoclinic
* N(E_F): 0.543 states/eV/atom
* space-group type: No. 14